[1]
TeRu4Cl (PBE, optimized geometry); symmetry = F-43m, No. 216; volume = 105.3 Å³/f.u.
1.0
0.000 3.748 3.748
3.748 0.000 3.748
3.748 3.748 0.000
Te Ru Cl
1 4 1
Cartesian
0.000 0.000 0.000
2.808 2.808 2.808
4.688 4.688 2.808
4.688 2.808 4.688
2.808 4.688 4.688
5.622 5.622 5.622

[2]
TeRuCl2 (PBE, optimized geometry); energy relative to the lowest polymorph listed for this composition = 431 meV/atom; symmetry = Imm2, No. 44; volume = 90.0 Å³/f.u.
1.0
-1.637 2.449 5.615
1.637 -2.449 5.615
1.637 2.449 -5.615
Te Ru Cl
1 1 2
Cartesian
0.000 0.000 0.000
1.637 0.000 1.898
0.000 0.000 4.022
0.000 2.449 1.910

[3]
TeRuCl2 (PBE, optimized geometry); energy relative to the lowest polymorph listed for this composition = 548 meV/atom; symmetry = R-3m, No. 166; volume = 102.5 Å³/f.u.
1.0
1.537 0.887 12.521
-1.537 0.887 12.521
0.000 -1.775 12.521
Te Ru Cl
1 1 2
Cartesian
0.000 0.000 0.000
0.000 0.000 18.781
0.000 0.000 16.583
0.000 0.000 20.979

[4]
VTeRu2Cl (PBE, optimized geometry); symmetry = P4/mmm, No. 123; volume = 94.7 Å³/f.u.
1.0
4.651 0.000 0.000
0.000 4.651 0.000
0.000 0.000 4.378
V Te Ru Cl
1 1 2 1
Cartesian
0.000 0.000 0.000
2.325 2.325 2.189
0.000 2.325 0.000
2.325 0.000 0.000
0.000 0.000 2.189

[5]
TeRuW2Cl (PBE, optimized geometry); symmetry = P4/mmm, No. 123; volume = 128.3 Å³/f.u.
1.0
5.003 0.000 0.000
0.000 5.003 0.000
0.000 0.000 5.126
Te Ru W Cl
1 1 2 1
Cartesian
0.000 0.000 0.000
2.502 2.502 2.563
0.000 2.502 0.000
2.502 0.000 0.000
0.000 0.000 2.563

[6]
ZnTeRuCl2 (PBE, optimized geometry); symmetry = P4/mmm, No. 123; volume = 116.5 Å³/f.u.
1.0
4.527 0.000 0.000
0.000 4.527 0.000
0.000 0.000 5.683
Zn Te Ru Cl
1 1 1 2
Cartesian
0.000 0.000 0.000
2.264 2.264 0.000
0.000 0.000 2.842
0.000 2.264 2.842
2.264 0.000 2.842

Uncorrected energy values, unit eV per cell, following the record order: -36.19, -15.66, -15.20, -29.01, -27.04, -16.04.
Formation energy (no corrections) values, unit meV per atom, following the record order: 983, 112, 229, 730, 2626, 268.